1.
The following is a DFT calculation (GGA-PBE) of a geometry-optimized Pm6PrDy2Ho3 structure.

Cell and atoms, written as CIF:
```
data_Pm6PrDy2Ho3
_space_group_name_H-M_alt 'C 1 2/m 1'
_space_group_IT_number 12
_cell_length_a 6.255
_cell_length_b 10.831
_cell_length_c 11.905
_cell_angle_alpha 90.00
_cell_angle_beta 100.06
_cell_angle_gamma 90.00
loop_
_space_group_symop_operation_xyz
'x,y,z'
'-x,-y,-z'
'-x,y,-z'
'x,-y,z'
'x+1/2,y+1/2,z'
'-x+1/2,-y+1/2,-z'
'-x+1/2,y+1/2,-z'
'x+1/2,-y+1/2,z'
loop_
_atom_site_label
_atom_site_type_symbol
_atom_site_fract_x
_atom_site_fract_y
_atom_site_fract_z
_atom_site_occupancy
Pm1 Pm 0.249 0.167 0.248 1
Pm2 Pm 0.250 0.000 0.752 1
Pr1 Pr 0.000 0.500 0.500 1
Dy1 Dy 0.000 0.167 0.500 1
Ho1 Ho 0.000 0.000 0.000 1
Ho2 Ho 0.000 0.333 0.000 1
```

Properties
As for the formation energy from the elements: 14 meV/atom. Its crystal system is monoclinic.



2.
The following is a DFT calculation (GGA-PBE) of a geometry-optimized PmPrDy2Ho4 structure.

Cell and atoms, written as CIF:
```
data_PmPrDy2Ho4
_space_group_name_H-M_alt 'C 1 2/c 1'
_space_group_IT_number 15
_cell_length_a 13.625
_cell_length_b 13.265
_cell_length_c 6.809
_cell_angle_alpha 90.00
_cell_angle_beta 119.98
_cell_angle_gamma 90.00
loop_
_space_group_symop_operation_xyz
'x,y,z'
'-x,-y,-z'
'-x,y,-z+1/2'
'x,-y,z+1/2'
'x+1/2,y+1/2,z'
'-x+1/2,-y+1/2,-z'
'-x+1/2,y+1/2,-z+1/2'
'x+1/2,-y+1/2,z+1/2'
loop_
_atom_site_label
_atom_site_type_symbol
_atom_site_fract_x
_atom_site_fract_y
_atom_site_fract_z
_atom_site_occupancy
Pm1 Pm 0.250 0.250 0.000 1
Pr1 Pr 0.000 0.000 0.000 1
Dy1 Dy 0.000 0.500 0.000 1
Dy2 Dy 0.250 0.250 0.500 1
Ho1 Ho 0.000 0.254 0.001 1
Ho2 Ho 0.246 0.498 0.498 1
```

Properties
As for the formation energy from the elements: 427 meV/atom. Its crystal system is monoclinic.



3.
The following is a DFT calculation (GGA-PBE) of a geometry-optimized PmPrDyHo structure.

Cell and atoms, written as CIF:
```
data_PmPrDyHo
_space_group_name_H-M_alt 'F -4 3 m'
_space_group_IT_number 216
_space_group_name_Hall 'F -4 2 3'
_cell_length_a 8.118
_cell_length_b 8.118
_cell_length_c 8.118
_cell_angle_alpha 90.00
_cell_angle_beta 90.00
_cell_angle_gamma 90.00
loop_
_atom_site_label
_atom_site_type_symbol
_atom_site_fract_x
_atom_site_fract_y
_atom_site_fract_z
_atom_site_occupancy
Pm1 Pm 0.000 0.000 0.000 1
Pr1 Pr 0.000 0.000 0.500 1
Dy1 Dy 0.250 0.250 0.750 1
Ho1 Ho 0.250 0.250 0.250 1
```

Properties
The calculation puts the excess energy over the best structure of this formula in the dataset at 9.2 kJ/mol of atoms. As for the formation energy from the elements: 115 meV/atom. Its crystal system is cubic.



4.
The following is a DFT calculation (GGA-PBE) of a geometry-optimized PmPr2DyHo structure.

Cell and atoms, written as CIF:
```
data_PmPr2DyHo
_space_group_name_H-M_alt 'P 1 2/c 1'
_space_group_IT_number 13
_cell_length_a 8.214
_cell_length_b 6.819
_cell_length_c 6.224
_cell_angle_alpha 90.00
_cell_angle_beta 90.10
_cell_angle_gamma 90.00
loop_
_space_group_symop_operation_xyz
'x,y,z'
'-x,-y,-z'
'-x,y,-z+1/2'
'x,-y,z+1/2'
loop_
_atom_site_label
_atom_site_type_symbol
_atom_site_fract_x
_atom_site_fract_y
_atom_site_fract_z
_atom_site_occupancy
Pm1 Pm 0.000 0.000 0.000 1
Pr1 Pr 0.304 0.307 0.249 1
Dy1 Dy 0.000 0.418 0.750 1
Ho1 Ho 0.500 0.156 0.750 1
```

Properties
As for the formation energy from the elements: 264 meV/atom. Its crystal system is monoclinic.



5.
The following is a DFT calculation (GGA-PBE) of a geometry-optimized Pm2Pr5DyHo structure.

Cell and atoms, written as CIF:
```
data_Pm2Pr5DyHo
_space_group_name_H-M_alt 'I 4/m c m'
_space_group_IT_number 140
_space_group_name_Hall '-I 4 2c'
_cell_length_a 8.675
_cell_length_b 8.675
_cell_length_c 16.848
_cell_angle_alpha 90.00
_cell_angle_beta 90.00
_cell_angle_gamma 90.00
loop_
_atom_site_label
_atom_site_type_symbol
_atom_site_fract_x
_atom_site_fract_y
_atom_site_fract_z
_atom_site_occupancy
Pm1 Pm 0.121 0.379 0.000 1
Pr1 Pr 0.000 0.000 0.000 1
Pr2 Pr 0.216 0.284 0.357 1
Dy1 Dy 0.000 0.000 0.250 1
Ho1 Ho 0.000 0.500 0.250 1
```

Properties
As for the formation energy from the elements: 279 meV/atom. Its crystal system is tetragonal.



6.
The following is a DFT calculation (GGA-PBE) of a geometry-optimized Pm5PrDy2Ho structure.

Cell and atoms, written as CIF:
```
data_Pm5PrDy2Ho
_space_group_name_H-M_alt 'C m c 21'
_space_group_IT_number 36
_cell_length_a 5.702
_cell_length_b 20.298
_cell_length_c 10.640
_cell_angle_alpha 90.00
_cell_angle_beta 90.00
_cell_angle_gamma 90.00
loop_
_space_group_symop_operation_xyz
'x,y,z'
'-x,-y,z+1/2'
'-x,y,z'
'x,-y,z+1/2'
'x+1/2,y+1/2,z'
'-x+1/2,-y+1/2,z+1/2'
'-x+1/2,y+1/2,z'
'x+1/2,-y+1/2,z+1/2'
loop_
_atom_site_label
_atom_site_type_symbol
_atom_site_fract_x
_atom_site_fract_y
_atom_site_fract_z
_atom_site_occupancy
Pm1 Pm 0.000 0.017 0.000 1
Pm2 Pm 0.000 0.280 0.293 1
Pm3 Pm 0.000 0.297 0.686 1
Pm4 Pm 0.000 0.386 0.002 1
Pm5 Pm 0.000 0.480 0.719 1
Pr1 Pr 0.000 0.413 0.432 1
Dy1 Dy 0.000 0.114 0.712 1
Dy2 Dy 0.000 0.116 0.297 1
Ho1 Ho 0.000 0.199 0.990 1
```

Properties
As for the formation energy from the elements: 149 meV/atom. Its crystal system is orthorhombic.



7.
The following is a DFT calculation (GGA-PBE) of a geometry-optimized PmPr6Dy3Ho2 structure.

Cell and atoms, written as CIF:
```
data_PmPr6Dy3Ho2
_space_group_name_H-M_alt 'C 1 2/m 1'
_space_group_IT_number 12
_cell_length_a 6.318
_cell_length_b 10.942
_cell_length_c 11.927
_cell_angle_alpha 90.00
_cell_angle_beta 100.14
_cell_angle_gamma 90.00
loop_
_space_group_symop_operation_xyz
'x,y,z'
'-x,-y,-z'
'-x,y,-z'
'x,-y,z'
'x+1/2,y+1/2,z'
'-x+1/2,-y+1/2,-z'
'-x+1/2,y+1/2,-z'
'x+1/2,-y+1/2,z'
loop_
_atom_site_label
_atom_site_type_symbol
_atom_site_fract_x
_atom_site_fract_y
_atom_site_fract_z
_atom_site_occupancy
Pm1 Pm 0.000 0.000 0.000 1
Pr1 Pr 0.249 0.333 0.749 1
Pr2 Pr 0.250 0.000 0.749 1
Dy1 Dy 0.000 0.167 0.500 1
Dy2 Dy 0.000 0.500 0.500 1
Ho1 Ho 0.000 0.333 0.000 1
```

Properties
As for the formation energy from the elements: 12 meV/atom. Its crystal system is monoclinic.



8.
The following is a DFT calculation (GGA-PBE) of a geometry-optimized Pm4PrDyHo2 structure.

Cell and atoms, written as CIF:
```
data_Pm4PrDyHo2
_space_group_name_H-M_alt 'P 1 2/m 1'
_space_group_IT_number 10
_cell_length_a 6.248
_cell_length_b 3.622
_cell_length_c 11.962
_cell_angle_alpha 90.00
_cell_angle_beta 100.15
_cell_angle_gamma 90.00
loop_
_space_group_symop_operation_xyz
'x,y,z'
'-x,-y,-z'
'-x,y,-z'
'x,-y,z'
loop_
_atom_site_label
_atom_site_type_symbol
_atom_site_fract_x
_atom_site_fract_y
_atom_site_fract_z
_atom_site_occupancy
Pm1 Pm 0.248 0.000 0.247 1
Pm2 Pm 0.251 0.500 0.752 1
Pr1 Pr 0.500 0.500 0.500 1
Dy1 Dy 0.500 0.000 0.000 1
Ho1 Ho 0.000 0.000 0.500 1
Ho2 Ho 0.000 0.500 0.000 1
```

Properties
As for the formation energy from the elements: 17 meV/atom. Its crystal system is monoclinic.